Entry 1:
An optimized crystal structure of Li2CaCd3. Source: Alexandria via LeMat-Bulk, functional PBE.

Cell: 4.852 4.852 13.299 Å, 90.00 90.00 120.00°
Fractional positions:
Li 0.333 0.667 0.082
Li 0.333 0.667 0.418
Li 0.667 0.333 0.582
Li 0.667 0.333 0.918
Ca 0.000 0.000 0.250
Ca 0.000 0.000 0.750
Cd 0.000 0.000 0.000
Cd 0.000 0.000 0.500
Cd 0.333 0.667 0.623
Cd 0.333 0.667 0.877
Cd 0.667 0.333 0.123
Cd 0.667 0.333 0.377

Entry 2:
An optimized crystal structure of Ti2VMoN. Source: Alexandria via LeMat-Bulk, functional PBE.

Output
Uncorrected formation energy, kJ/mol of atoms: -59

Cell: 4.236 4.236 3.783 Å, 90.00 90.00 90.00°
Fractional positions:
Ti 0.000 0.500 0.000
Ti 0.500 0.000 0.000
V 0.000 0.000 0.500
Mo 0.500 0.500 0.500
N 0.000 0.000 0.000

Entry 3:
An optimized crystal structure of LaMnBe2. Source: Alexandria via LeMat-Bulk, functional PBE.

Cell: 2.897 2.991 7.139 Å, 90.00 90.00 90.00°
Fractional positions:
La 0.000 0.000 0.000
Mn 0.500 0.500 0.337
Be 0.000 0.000 0.522
Be 0.500 0.500 0.670

So what do the calculations give for uncorrected energy? Going down the list: -20.2; -47.1; -20.0 eV per cell.
So what do the calculations give for DOS at the Fermi energy? Going down the list: 3.72; 5.31; 3.52 states/eV/f.u..